[1]
Density functional theory data (PBE-GGA) for a relaxed LiGdBeCd crystal.

Cell and atoms, written as POSCAR:
```
LiGdBeCd
1.0
6.621 0.000 0.000
0.000 6.621 0.000
0.000 0.000 6.621
Li Gd Be Cd
4 4 4 4
direct
0.000 0.000 0.000 Li
0.000 0.500 0.500 Li
0.500 0.000 0.500 Li
0.500 0.500 0.000 Li
0.250 0.250 0.750 Gd
0.250 0.750 0.250 Gd
0.750 0.250 0.250 Gd
0.750 0.750 0.750 Gd
0.000 0.000 0.500 Be
0.000 0.500 0.000 Be
0.500 0.000 0.000 Be
0.500 0.500 0.500 Be
0.250 0.250 0.250 Cd
0.250 0.750 0.750 Cd
0.750 0.250 0.750 Cd
0.750 0.750 0.250 Cd
```

Computed properties:
crystal system: cubic
formation energy: -60 meV/atom
VASP energy: -5.22 eV per atom



[2]
Density functional theory data (PBE-GGA) for a relaxed GdLuBeCd crystal.

Cell and atoms, written as POSCAR:
```
GdLuBeCd
1.0
7.165 0.000 0.000
0.000 7.165 0.000
0.000 0.000 7.165
Gd Lu Be Cd
4 4 4 4
direct
0.000 0.000 0.000 Gd
0.000 0.500 0.500 Gd
0.500 0.000 0.500 Gd
0.500 0.500 0.000 Gd
0.000 0.000 0.500 Lu
0.000 0.500 0.000 Lu
0.500 0.000 0.000 Lu
0.500 0.500 0.500 Lu
0.250 0.250 0.250 Be
0.250 0.750 0.750 Be
0.750 0.250 0.750 Be
0.750 0.750 0.250 Be
0.250 0.250 0.750 Cd
0.250 0.750 0.250 Cd
0.750 0.250 0.250 Cd
0.750 0.750 0.750 Cd
```

Computed properties:
crystal system: cubic
formation energy: 60 meV/atom
VASP energy: -5.75 eV per atom



[3]
Density functional theory data (PBE-GGA) for a relaxed GdScBeCd crystal.

Cell and atoms, written as POSCAR:
```
GdScBeCd
1.0
7.035 0.000 0.000
0.000 7.035 0.000
0.000 0.000 7.035
Gd Sc Be Cd
4 4 4 4
direct
0.000 0.000 0.000 Gd
0.000 0.500 0.500 Gd
0.500 0.000 0.500 Gd
0.500 0.500 0.000 Gd
0.000 0.000 0.500 Sc
0.000 0.500 0.000 Sc
0.500 0.000 0.000 Sc
0.500 0.500 0.500 Sc
0.250 0.250 0.250 Be
0.250 0.750 0.750 Be
0.750 0.250 0.750 Be
0.750 0.750 0.250 Be
0.250 0.250 0.750 Cd
0.250 0.750 0.250 Cd
0.750 0.250 0.250 Cd
0.750 0.750 0.750 Cd
```

Computed properties:
crystal system: cubic
formation energy: -32 meV/atom
VASP energy: -6.30 eV per atom



[4]
Density functional theory data (PBE-GGA) for a relaxed TbGdBeCd crystal.

Cell and atoms, written as POSCAR:
```
TbGdBeCd
1.0
7.254 0.000 0.000
0.000 7.254 0.000
0.000 0.000 7.254
Tb Gd Be Cd
4 4 4 4
direct
0.000 0.000 0.000 Tb
0.000 0.500 0.500 Tb
0.500 0.000 0.500 Tb
0.500 0.500 0.000 Tb
0.000 0.000 0.500 Gd
0.000 0.500 0.000 Gd
0.500 0.000 0.000 Gd
0.500 0.500 0.500 Gd
0.250 0.250 0.750 Be
0.250 0.750 0.250 Be
0.750 0.250 0.250 Be
0.750 0.750 0.750 Be
0.250 0.250 0.250 Cd
0.250 0.750 0.750 Cd
0.750 0.250 0.750 Cd
0.750 0.750 0.250 Cd
```

Computed properties:
crystal system: cubic
formation energy: -37 meV/atom
VASP energy: -5.87 eV per atom



[5]
Density functional theory data (PBE-GGA) for a relaxed BeCd3Ge crystal.

Cell and atoms, written as POSCAR:
```
BeCd3Ge
1.0
4.734 0.000 0.000
0.000 4.734 0.000
0.000 0.000 4.734
Be Cd Ge
1 3 1
direct
0.000 0.000 0.000 Be
0.000 0.000 0.500 Cd
0.000 0.500 0.000 Cd
0.500 0.000 0.000 Cd
0.500 0.500 0.500 Ge
```

Computed properties:
crystal system: cubic
formation energy: 443 meV/atom
VASP energy: -1.78 eV per atom
energy above the lowest structure with this stoichiometry: 0 meV per atom



[6]
Density functional theory data (PBE-GGA) for a relaxed BeCdGe3 crystal.

Cell and atoms, written as POSCAR:
```
BeCdGe3
1.0
4.597 0.000 0.000
0.000 4.597 0.000
0.000 0.000 4.597
Be Cd Ge
1 1 3
direct
0.000 0.000 0.000 Be
0.500 0.500 0.500 Cd
0.000 0.000 0.500 Ge
0.000 0.500 0.000 Ge
0.500 0.000 0.000 Ge
```

Computed properties:
crystal system: cubic
formation energy: 427 meV/atom
VASP energy: -3.27 eV per atom
energy above the lowest structure with this stoichiometry: 0 meV per atom